(1)
This record from the Alexandria database describes a relaxed TcI2NF crystal. The functional is GGA-PBE.

Cell: 5.453 5.453 3.714 Å, 90.00 90.00 90.00°
Fractional coordinates of all 5 atoms:
Tc 0.000 0.000 0.000
I 0.000 0.500 0.000
I 0.500 0.000 0.000
N 0.000 0.000 0.500
F 0.500 0.500 0.500

Values from the calculation:
N(E_F) ... 0.938 states/eV per atom
Energy relative to the lowest polymorph listed for this composition ... 0.000 eV/atom
ΔE_f (raw) ... 160 meV/atom

=====

(2)
This record from the Alexandria database describes a relaxed TcINF2 crystal. The functional is GGA-PBE.

Cell: 4.355 4.355 3.877 Å, 90.00 90.00 90.00°
Fractional coordinates of all 5 atoms:
Tc 0.000 0.000 0.000
I 0.500 0.500 0.500
N 0.000 0.000 0.500
F 0.000 0.500 0.000
F 0.500 0.000 0.000

Values from the calculation:
N(E_F) ... 0.974 states/eV per atom
Energy relative to the lowest polymorph listed for this composition ... 0.000 eV/atom
ΔE_f (raw) ... -261 meV/atom

=====

(3)
This record from the Alexandria database describes a relaxed TcIN2F crystal. The functional is GGA-PBE.

Cell: 4.169 4.169 4.456 Å, 90.00 90.00 90.00°
Fractional coordinates of all 5 atoms:
Tc 0.000 0.000 0.000
I 0.500 0.500 0.500
N 0.000 0.500 0.500
N 0.500 0.000 0.500
F 0.500 0.500 0.000

Values from the calculation:
N(E_F) ... 0.396 states/eV per atom
Energy relative to the lowest polymorph listed for this composition ... 1.334 eV/atom
ΔE_f (raw) ... 1764 meV/atom

=====

(4)
This record from the Alexandria database describes a relaxed TcIN2F crystal. The functional is GGA-PBE.

Cell: 3.813 3.813 5.655 Å, 90.00 90.00 90.00°
Fractional coordinates of all 5 atoms:
Tc 0.000 0.000 0.000
I 0.000 0.000 0.500
N 0.000 0.500 0.000
N 0.500 0.000 0.000
F 0.500 0.500 0.500

Values from the calculation:
N(E_F) ... 0.839 states/eV per atom
Energy relative to the lowest polymorph listed for this composition ... 0.000 eV/atom
ΔE_f (raw) ... 429 meV/atom

=====

(5)
This record from the Alexandria database describes a relaxed TcIN2F crystal. The functional is GGA-PBE.

Cell: 4.000 4.000 4.259 Å, 90.00 90.00 90.00°
Fractional coordinates of all 5 atoms:
Tc 0.000 0.000 0.000
I 0.500 0.500 0.500
N 0.000 0.500 0.000
N 0.500 0.000 0.000
F 0.000 0.000 0.500

Values from the calculation:
N(E_F) ... 0.852 states/eV per atom
Energy relative to the lowest polymorph listed for this composition ... 0.038 eV/atom
ΔE_f (raw) ... 468 meV/atom

=====

(6)
This record from the Alexandria database describes a relaxed TcIN2F crystal. The functional is GGA-PBE.

Cell: 4.082 4.082 4.446 Å, 90.00 90.00 90.00°
Fractional coordinates of all 5 atoms:
Tc 0.000 0.000 0.000
I 0.500 0.500 0.000
N 0.000 0.500 0.500
N 0.500 0.000 0.500
F 0.500 0.500 0.500

Values from the calculation:
N(E_F) ... 0.784 states/eV per atom
Energy relative to the lowest polymorph listed for this composition ... 2.010 eV/atom
ΔE_f (raw) ... 2440 meV/atom

=====

(7)
This record from the Alexandria database describes a relaxed TcI2NF crystal. The functional is GGA-PBE.

Cell: 6.007 6.007 3.478 Å, 90.00 90.00 90.00°
Fractional coordinates of all 5 atoms:
Tc 0.000 0.000 0.000
I 0.000 0.500 0.500
I 0.500 0.000 0.500
N 0.500 0.500 0.000
F 0.500 0.500 0.500

Values from the calculation:
N(E_F) ... 0.503 states/eV per atom
Energy relative to the lowest polymorph listed for this composition ... 1.378 eV/atom
ΔE_f (raw) ... 1537 meV/atom

=====

(8)
This record from the Alexandria database describes a relaxed TeIN2F crystal. The functional is GGA-PBE.

Cell: 3.898 3.898 6.935 Å, 90.00 90.00 90.00°
Fractional coordinates of all 5 atoms:
Te 0.000 0.000 0.000
I 0.000 0.000 0.500
N 0.000 0.500 0.500
N 0.500 0.000 0.500
F 0.500 0.500 0.000

Values from the calculation:
N(E_F) ... 0.482 states/eV per atom
Energy relative to the lowest polymorph listed for this composition ... 0.515 eV/atom
ΔE_f (raw) ... 1521 meV/atom

=====

(9)
This record from the Alexandria database describes a relaxed TeIN2F crystal. The functional is GGA-PBE.

Cell: 4.875 4.875 4.422 Å, 90.00 90.00 90.00°
Fractional coordinates of all 5 atoms:
Te 0.000 0.000 0.000
I 0.500 0.500 0.000
N 0.000 0.500 0.500
N 0.500 0.000 0.500
F 0.500 0.500 0.500

Values from the calculation:
N(E_F) ... 0.610 states/eV per atom
Energy relative to the lowest polymorph listed for this composition ... 1.011 eV/atom
ΔE_f (raw) ... 2017 meV/atom

=====

(10)
This record from the Alexandria database describes a relaxed TeIN2F crystal. The functional is GGA-PBE.

Cell: 4.974 4.974 4.390 Å, 90.00 90.00 90.00°
Fractional coordinates of all 5 atoms:
Te 0.000 0.000 0.000
I 0.500 0.500 0.000
N 0.000 0.500 0.500
N 0.500 0.000 0.500
F 0.000 0.000 0.500

Values from the calculation:
N(E_F) ... 0.421 states/eV per atom
Energy relative to the lowest polymorph listed for this composition ... 0.791 eV/atom
ΔE_f (raw) ... 1797 meV/atom

=====

(11)
This record from the Alexandria database describes a relaxed TeIN2F crystal. The functional is GGA-PBE.

Cell: 4.344 4.344 4.284 Å, 90.00 90.00 90.00°
Fractional coordinates of all 5 atoms:
Te 0.000 0.000 0.000
I 0.500 0.500 0.500
N 0.000 0.500 0.000
N 0.500 0.000 0.000
F 0.000 0.000 0.500

Values from the calculation:
N(E_F) ... 0.749 states/eV per atom
Energy relative to the lowest polymorph listed for this composition ... 0.000 eV/atom
ΔE_f (raw) ... 1006 meV/atom

=====

(12)
This record from the Alexandria database describes a relaxed TeIN2F crystal. The functional is GGA-PBE.

Cell: 3.924 3.924 6.832 Å, 90.00 90.00 90.00°
Fractional coordinates of all 5 atoms:
Te 0.000 0.000 0.000
I 0.000 0.000 0.500
N 0.000 0.500 0.000
N 0.500 0.000 0.000
F 0.500 0.500 0.500

Values from the calculation:
N(E_F) ... 0.998 states/eV per atom
Energy relative to the lowest polymorph listed for this composition ... 0.180 eV/atom
ΔE_f (raw) ... 1186 meV/atom

=====

(13)
This record from the Alexandria database describes a relaxed TeIN2F crystal. The functional is GGA-PBE.

Cell: 4.292 4.292 4.396 Å, 90.00 90.00 90.00°
Fractional coordinates of all 5 atoms:
Te 0.000 0.000 0.000
I 0.500 0.500 0.500
N 0.000 0.500 0.500
N 0.500 0.000 0.500
F 0.500 0.500 0.000

Values from the calculation:
N(E_F) ... 0.704 states/eV per atom
Energy relative to the lowest polymorph listed for this composition ... 0.401 eV/atom
ΔE_f (raw) ... 1407 meV/atom

=====

(14)
This record from the Alexandria database describes a relaxed TlINF2 crystal. The functional is GGA-PBE.

Cell: 4.967 4.967 4.029 Å, 90.00 90.00 90.00°
Fractional coordinates of all 5 atoms:
Tl 0.000 0.000 0.000
I 0.500 0.500 0.500
N 0.500 0.500 0.000
F 0.000 0.500 0.500
F 0.500 0.000 0.500

Values from the calculation:
N(E_F) ... 0.254 states/eV per atom
Energy relative to the lowest polymorph listed for this composition ... 0.000 eV/atom
ΔE_f (raw) ... -241 meV/atom

=====

(15)
This record from the Alexandria database describes a relaxed TlINF2 crystal. The functional is GGA-PBE.

Cell: 4.340 4.340 4.841 Å, 90.00 90.00 90.00°
Fractional coordinates of all 5 atoms:
Tl 0.000 0.000 0.000
I 0.500 0.500 0.500
N 0.000 0.000 0.500
F 0.000 0.500 0.000
F 0.500 0.000 0.000

Values from the calculation:
N(E_F) ... 0.515 states/eV per atom
Energy relative to the lowest polymorph listed for this composition ... 0.248 eV/atom
ΔE_f (raw) ... 7 meV/atom